No. 1
Material: UZn11Au
Method: DFT, PBE
State: relaxed

The theoretical density comes out at 9.07 g cm⁻³. The space group is C2/m (12). Its electronic total energy is -2.256 eV/atom. The density of states at the Fermi level is 10.7 states/eV/cell. The value obtained for the formation energy is -58 meV per atom.

Cell and atoms, written as POSCAR:
```
UZn11Au
1.0
0.7694 -4.4721 2.7269
2.4640 -5.1328 -3.8386
6.2967 -0.4010 2.7047
U Zn Au
1 11 1
Cartesian
0.0000 0.0000 0.0000
2.1080 -2.4185 0.5313
7.4221 -7.5873 1.0618
3.7005 -6.3870 -1.0587
5.8296 -3.6188 2.6518
5.9168 -5.1613 0.2084
3.6133 -4.8446 1.3847
4.9173 -2.0844 0.4043
4.6128 -7.9214 1.1888
1.2320 -2.5664 -1.9193
3.5331 -2.4365 2.7158
3.1483 -0.2005 1.3524
1.6167 -4.8024 -0.5558
```

***

No. 2
Material: YZnRe3
Method: DFT, PBE
State: relaxed

The theoretical density comes out at 10.42 g cm⁻³. The space group is Pm-3m (221). Its electronic total energy is -5.902 eV/atom. The density of states at the Fermi level is 5.0 states/eV/cell. The value obtained for the formation energy is 3115 meV per atom. As for the excess energy over the best structure of this formula in the dataset: 1626 meV/atom.

Cell and atoms, written as POSCAR:
```
YZnRe3
1.0
-4.1680 -1.4710 1.9805
2.0224 0.1896 4.3969
-1.4129 4.6108 0.4511
Y Re Zn
1 3 1
Cartesian
0.0000 0.0000 0.0000
1.0112 0.0948 2.1985
-0.7064 2.3054 0.2255
-2.0840 -0.7355 0.9903
-1.7793 1.6647 3.4143
```

***

No. 3
Material: Rb2SrNbTl
Method: DFT, PBE
State: relaxed

The theoretical density comes out at 3.44 g cm⁻³. The space group is P4/mmm (123). Its electronic total energy is -2.278 eV/atom. The density of states at the Fermi level is 4.6 states/eV/cell. The value obtained for the formation energy is 933 meV per atom.

Cell and atoms, written as POSCAR:
```
Rb2SrNbTl
1.0
-3.2703 -6.0036 -0.6009
2.9632 -2.0553 4.4077
-4.8635 2.2184 4.3040
Sr Tl Nb Rb
1 1 1 2
Cartesian
-2.5853 -2.9203 4.0554
1.4816 -1.0276 2.2038
0.0000 0.0000 0.0000
-2.4318 1.1092 2.1520
-1.6352 -3.0018 -0.3005
```

***

No. 4
Material: Mg2Be2InPd5
Method: DFT, PBE
State: relaxed

The theoretical density comes out at 7.81 g cm⁻³. The space group is P4/mbm (127). Its electronic total energy is -4.544 eV/atom. The density of states at the Fermi level is 7.8 states/eV/cell. The value obtained for the formation energy is -609 meV per atom.

Cell and atoms, written as POSCAR:
```
Mg2Be2InPd5
1.0
-2.6194 1.9291 -0.7506
-5.6704 -7.6601 0.1013
-1.6637 1.3544 9.2865
Mg Be In Pd
4 4 2 10
Cartesian
-4.1194 -4.9342 1.6944
-3.2148 -1.3716 7.6934
-1.5334 -0.9012 3.0350
-5.8007 -5.4046 6.3528
-1.7324 -0.0970 5.7959
-5.6018 -6.2087 3.5919
-4.9909 -3.5825 8.2094
-2.3433 -2.7233 1.1784
0.0000 0.0000 0.0000
-3.6671 -3.1529 4.6939
-2.6576 -0.5941 0.3227
-7.2960 -3.7826 8.3145
-3.0263 1.4682 6.9095
-6.0825 -3.9442 3.6644
-6.9273 -5.8449 1.7277
-3.8711 -0.4325 4.9728
-5.7496 -2.4530 6.3351
-4.2040 -1.9237 2.3021
-4.1449 -2.8655 -0.3247
-2.1416 1.6417 4.2679
```

***

No. 5
Material: SiHgBr2
Method: DFT, PBE
State: relaxed

The theoretical density comes out at 6.34 g cm⁻³. The space group is P4/mmm (123). The uncorrected formation energy comes out at 351 meV/atom. Its electronic total energy is -1.917 eV/atom. The density of states at the Fermi level is 2.6 states/eV/cell. As for the excess energy over the best structure of this formula in the dataset: 585 meV/atom.

Cell and atoms, written as POSCAR:
```
SiHgBr2
1.0
5.1115 0.0000 0.0000
0.0000 5.1115 0.0000
0.0000 0.0000 3.8950
Br Hg Si
2 1 1
Cartesian
0.0000 0.0000 0.0000
2.5558 2.5558 0.0000
2.5558 0.0000 1.9475
0.0000 2.5558 1.9475
```

***

No. 6
Material: LiGaRePdRu
Method: DFT, PBE
State: relaxed

The theoretical density comes out at 10.06 g cm⁻³. The space group is Pmm2 (25). Its electronic total energy is -6.399 eV/atom. The density of states at the Fermi level is 3.4 states/eV/cell. The value obtained for the formation energy is -27 meV per atom. As for the excess energy over the best structure of this formula in the dataset: 125 meV/atom.

Cell and atoms, written as POSCAR:
```
LiGaRePdRu
1.0
-2.2566 -1.1302 1.0365
2.1862 -1.7926 2.8049
-0.8633 5.6550 4.2869
Li Ga Re Pd Ru
1 1 1 1 1
Cartesian
-1.8884 4.4144 4.2931
-0.4601 1.3222 4.0309
-0.2332 1.5276 1.1580
0.4104 3.5759 4.7927
-0.1453 -0.7398 2.4677
```

***

No. 7
Material: Er3Sb2O
Method: DFT, PBE
State: relaxed

The theoretical density comes out at 8.73 g cm⁻³. The space group is Cmc2_1 (36). The uncorrected formation energy comes out at -1497 meV/atom. Its electronic total energy is -5.978 eV/atom. The density of states at the Fermi level is 6.5 states/eV/cell.

Cell and atoms, written as POSCAR:
```
Er3Sb2O
1.0
6.3813 0.0000 0.0000
0.0000 6.8931 0.4116
0.0000 -2.5060 6.4346
Er Sb O
6 4 2
Cartesian
3.2310 -1.0910 5.5121
0.0404 -1.0767 5.5344
1.9762 1.5452 2.4113
5.1669 2.8419 4.4349
0.0404 5.4780 1.3340
3.2310 5.4638 1.3118
4.7738 -0.0228 3.1360
1.5831 1.5284 5.5567
1.5831 4.4099 3.7102
4.7738 2.8587 1.2895
4.7817 4.0467 6.3150
1.5911 0.3403 0.5311
```

***

No. 8
Material: Ce2YRu9
Method: DFT, PBE
State: relaxed

The theoretical density comes out at 10.04 g cm⁻³. The space group is R-3m (166). Its electronic total energy is -8.608 eV/atom. The density of states at the Fermi level is 16.8 states/eV/cell. The value obtained for the formation energy is -124 meV per atom.

Cell and atoms, written as POSCAR:
```
Ce2YRu9
1.0
5.0078 0.0000 1.4904
2.2821 4.4576 1.4904
-0.0834 -0.0510 9.4385
Ce Y Ru
2 1 9
Cartesian
6.2363 3.8133 6.5212
0.9703 0.5933 5.8981
0.0000 0.0000 0.0000
4.8473 2.9640 2.0298
2.3593 1.4426 10.3895
3.6033 2.2033 6.2097
3.0249 1.8497 3.5390
5.5478 1.8497 4.2898
4.1747 4.0954 4.2898
4.1816 2.5570 8.8803
3.0319 0.3112 8.1295
1.6587 2.5570 8.1295
```

***

No. 9
Material: TaPtSe3
Method: DFT, PBE
State: relaxed

The theoretical density comes out at 8.29 g cm⁻³. The space group is Pm-3m (221). The uncorrected formation energy comes out at 495 meV/atom. Its electronic total energy is -5.174 eV/atom. The density of states at the Fermi level is 5.5 states/eV/cell. As for the excess energy over the best structure of this formula in the dataset: 1002 meV/atom.

Cell and atoms, written as POSCAR:
```
TaPtSe3
1.0
-1.6212 3.9507 2.5430
-4.6141 -1.8460 -0.0737
0.8859 -2.3848 4.2698
Se Pt Ta
3 1 1
Cartesian
-2.3071 -0.9230 -0.0369
0.4429 -1.1924 2.1349
-0.8106 1.9754 1.2715
-2.6747 -0.1400 3.3695
0.0000 0.0000 0.0000
```

***

No. 10
Material: Nd2Dy3Zn2
Method: DFT, PBE
State: relaxed

The theoretical density comes out at 7.54 g cm⁻³. The space group is C2/m (12). Its electronic total energy is -3.786 eV/atom. The density of states at the Fermi level is 8.6 states/eV/cell. The value obtained for the formation energy is -87 meV per atom. As for the excess energy over the best structure of this formula in the dataset: 42 meV/atom.

Cell and atoms, written as POSCAR:
```
Nd2Dy3Zn2
1.0
4.7479 0.0000 0.0000
-2.3739 5.7817 -0.4048
0.0000 -3.2005 7.4966
Nd Dy Zn
2 3 2
Cartesian
2.3739 3.5404 1.2595
0.0000 -0.9593 5.8323
2.3739 0.0000 0.0000
2.3739 0.0697 3.3715
0.0000 2.5115 3.7203
2.3740 1.5387 5.7768
0.0000 1.0424 1.3150
```

***

No. 11
Material: SrLa2Zn9
Method: DFT, PBE
State: relaxed

The theoretical density comes out at 6.48 g cm⁻³. The space group is R-3m (166). Its electronic total energy is -2.170 eV/atom. The density of states at the Fermi level is 9.4 states/eV/cell. The value obtained for the formation energy is -253 meV per atom.

Cell and atoms, written as POSCAR:
```
SrLa2Zn9
1.0
-0.7046 -4.9752 2.6255
4.3233 -2.3617 2.8061
-1.2425 1.7599 9.1229
Sr La Zn
1 2 9
Cartesian
0.0000 0.0000 0.0000
2.5664 -5.5297 8.5738
-0.1902 -0.0473 5.9806
2.4007 -4.8710 3.6563
-0.0245 -0.7060 10.8981
1.1881 -2.7885 7.2772
1.2080 -2.6339 4.4863
0.8524 -5.1448 5.8112
3.3898 -3.8258 5.9024
1.1682 -2.9431 10.0681
-1.0136 -1.7512 8.6520
1.5237 -0.4322 8.7432
```

***

No. 12
Material: CuBiPt3
Method: DFT, PBE
State: relaxed

The theoretical density comes out at 10.93 g cm⁻³. The space group is Pm-3m (221). Its electronic total energy is -3.912 eV/atom. The density of states at the Fermi level is 1.7 states/eV/cell. The value obtained for the formation energy is 1308 meV per atom. As for the excess energy over the best structure of this formula in the dataset: 1198 meV/atom.

Cell and atoms, written as POSCAR:
```
CuBiPt3
1.0
-3.3333 -0.2777 -3.8105
1.9786 -4.4514 -1.4065
-3.2684 -2.4116 3.0348
Cu Bi Pt
1 1 3
Cartesian
-2.3115 -3.5704 -1.0911
0.0000 0.0000 0.0000
0.9893 -2.2257 -0.7032
-1.6342 -1.2058 1.5174
-1.6667 -0.1388 -1.9053
```